[1]
# LaScSb PBE optimized geometry
# Formation energy without anion corrections ... -0.8801 eV/atom
# E_tot ... -36.044 eV per cell
data_LaScSb
_chemical_formula_sum 'La2 Sc2 Sb2'
_space_group_name_H-M_alt 'P 4/n m m'
_space_group_IT_number 129
_cell_length_a 4.4865
_cell_length_b 4.4865
_cell_length_c 8.5432
_cell_angle_alpha 90.00
_cell_angle_beta 90.00
_cell_angle_gamma 90.00
loop_
_space_group_symop_operation_xyz
'x,y,z'
'-x,-y,-z'
'-y+1/2,x,z'
'y+1/2,-x,-z'
'-x+1/2,-y+1/2,z'
'x+1/2,y+1/2,-z'
'y,-x+1/2,z'
'-y,x+1/2,-z'
'x+1/2,-y,-z'
'-x+1/2,y,z'
'-y,-x,-z'
'y,x,z'
'-x,y+1/2,-z'
'x,-y+1/2,z'
'y+1/2,x+1/2,-z'
'-y+1/2,-x+1/2,z'
loop_
_atom_site_label
_atom_site_type_symbol
_atom_site_fract_x
_atom_site_fract_y
_atom_site_fract_z
La1 La 0.2500 0.2500 0.1490
Sc1 Sc 0.2500 0.7500 0.5000
Sb1 Sb 0.2500 0.2500 0.7465

---

[2]
# LaScSb4 PBE optimized geometry
# Formation energy without anion corrections ... -0.1444 eV/atom
# E_tot ... -114.459 eV per cell
data_LaScSb4
_chemical_formula_sum 'La4 Sc4 Sb16'
_space_group_name_H-M_alt 'F -4 3 m'
_space_group_IT_number 216
_space_group_name_Hall 'F -4 2 3'
_cell_length_a 8.8543
_cell_length_b 8.8543
_cell_length_c 8.8543
_cell_angle_alpha 90.00
_cell_angle_beta 90.00
_cell_angle_gamma 90.00
loop_
_atom_site_label
_atom_site_type_symbol
_atom_site_fract_x
_atom_site_fract_y
_atom_site_fract_z
La1 La 0.0000 0.0000 0.0000
Sc1 Sc 0.2500 0.2500 0.2500
Sb1 Sb 0.1244 0.1244 0.6244

---

[3]
# La4ScSb5 PBE optimized geometry
# Formation energy without anion corrections ... -1.1575 eV/atom
# E_tot ... -116.457 eV per cell
data_La4ScSb5
_chemical_formula_sum 'La8 Sc2 Sb10'
_space_group_name_H-M_alt 'I 4/m m m'
_space_group_IT_number 139
_space_group_name_Hall '-I 4 2'
_cell_length_a 4.5644
_cell_length_b 4.5644
_cell_length_c 31.9873
_cell_angle_alpha 90.00
_cell_angle_beta 90.00
_cell_angle_gamma 90.00
loop_
_atom_site_label
_atom_site_type_symbol
_atom_site_fract_x
_atom_site_fract_y
_atom_site_fract_z
La1 La 0.0000 0.0000 0.0979
La2 La 0.0000 0.0000 0.3022
Sc1 Sc 0.0000 0.0000 0.5000
Sb1 Sb 0.0000 0.0000 0.0000
Sb2 Sb 0.0000 0.0000 0.1998
Sb3 Sb 0.0000 0.0000 0.4061

---

[4]
# LaScSb PBE optimized geometry
# Formation energy without anion corrections ... -0.6124 eV/atom
# E_tot ... -34.437 eV per cell
data_LaScSb
_chemical_formula_sum 'La2 Sc2 Sb2'
_space_group_name_H-M_alt 'I 4 m m'
_space_group_IT_number 107
_space_group_name_Hall 'I 4 -2'
_cell_length_a 3.9224
_cell_length_b 3.9224
_cell_length_c 11.1241
_cell_angle_alpha 90.00
_cell_angle_beta 90.00
_cell_angle_gamma 90.00
loop_
_atom_site_label
_atom_site_type_symbol
_atom_site_fract_x
_atom_site_fract_y
_atom_site_fract_z
La1 La 0.0000 0.0000 0.0000
Sc1 Sc 0.0000 0.0000 0.7052
Sb1 Sb 0.0000 0.0000 0.3136

---

[5]
# La3ScSb4 PBE optimized geometry
# Formation energy without anion corrections ... -1.1511 eV/atom
# E_tot ... -93.625 eV per cell
data_La3ScSb4
_chemical_formula_sum 'La6 Sc2 Sb8'
_space_group_name_H-M_alt 'P 1 2/c 1'
_space_group_IT_number 13
_space_group_name_Hall '-P 2yc'
_cell_length_a 7.8166
_cell_length_b 9.0565
_cell_length_c 7.8381
_cell_angle_alpha 90.00
_cell_angle_beta 109.55
_cell_angle_gamma 90.00
loop_
_atom_site_label
_atom_site_type_symbol
_atom_site_fract_x
_atom_site_fract_y
_atom_site_fract_z
La1 La 0.0000 0.1235 0.2500
La2 La 0.0000 0.3715 0.7500
La3 La 0.5000 0.3726 0.2500
Sc1 Sc 0.5000 0.1240 0.7500
Sb1 Sb 0.2586 0.3658 0.5096
Sb2 Sb 0.2695 0.1144 0.9996

---

[6]
# La2ScSb PBE optimized geometry
# Formation energy without anion corrections ... -0.3262 eV/atom
# E_tot ... -64.840 eV per cell
data_La2ScSb
_chemical_formula_sum 'La6 Sc3 Sb3'
_space_group_name_H-M_alt 'R 3 m'
_space_group_IT_number 160
_space_group_name_Hall 'R 3 -2"'
_cell_length_a 4.0218
_cell_length_b 4.0218
_cell_length_c 28.8205
_cell_angle_alpha 90.00
_cell_angle_beta 90.00
_cell_angle_gamma 120.00
loop_
_atom_site_label
_atom_site_type_symbol
_atom_site_fract_x
_atom_site_fract_y
_atom_site_fract_z
La1 La 0.0000 0.0000 0.0000
La2 La 0.0000 0.0000 0.2298
Sc1 Sc 0.0000 0.0000 0.4656
Sb1 Sb 0.0000 0.0000 0.7421

---

[7]
# La2ScSb PBE optimized geometry
# Formation energy without anion corrections ... -0.5172 eV/atom
# E_tot ... -22.378 eV per cell
data_La2ScSb
_chemical_formula_sum 'La2 Sc1 Sb1'
_space_group_name_H-M_alt 'P 4/m m m'
_space_group_IT_number 123
_space_group_name_Hall '-P 4 2'
_cell_length_a 4.2576
_cell_length_b 4.2576
_cell_length_c 6.7518
_cell_angle_alpha 90.00
_cell_angle_beta 90.00
_cell_angle_gamma 90.00
loop_
_atom_site_label
_atom_site_type_symbol
_atom_site_fract_x
_atom_site_fract_y
_atom_site_fract_z
La1 La 0.0000 0.0000 0.2360
Sc1 Sc 0.5000 0.5000 0.5000
Sb1 Sb 0.5000 0.5000 0.0000

---

[8]
# La2ScSb PBE optimized geometry
# Formation energy without anion corrections ... -0.2500 eV/atom
# E_tot ... -85.235 eV per cell
data_La2ScSb
_chemical_formula_sum 'La8 Sc4 Sb4'
_space_group_name_H-M_alt 'I -4 2 d'
_space_group_IT_number 122
_space_group_name_Hall 'I -4 2bw'
_cell_length_a 8.9837
_cell_length_b 8.9837
_cell_length_c 6.2423
_cell_angle_alpha 90.00
_cell_angle_beta 90.00
_cell_angle_gamma 90.00
loop_
_atom_site_label
_atom_site_type_symbol
_atom_site_fract_x
_atom_site_fract_y
_atom_site_fract_z
La1 La 0.2326 0.7500 0.1250
Sc1 Sc 0.0000 0.0000 0.5000
Sb1 Sb 0.0000 0.0000 0.0000

---

> Which formula does entry 8 have?

La2ScSb